[1]
A relaxed structure of TaMnNi. Source: the Alexandria database, functional PBE-GGA.

a = 4.802 Å, b = 4.774 Å, c = 8.743 Å
α = 82.06°, β = 74.06°, γ = 59.81°
Sites, in units of the cell vectors:
Ni 0.626 0.500 0.747
Ni 0.876 0.000 0.247
Ta 0.922 0.155 0.500
Mn 0.313 0.500 0.375
Mn 0.563 0.000 0.875
Mn 0.187 0.500 0.625
Ni 0.124 0.000 0.753
Mn 0.437 0.000 0.125
Ta 0.828 0.345 0.000
Ta 0.172 0.655 0.000
Ni 0.874 0.500 0.253
Ta 0.578 0.845 0.500

* symmetry: Fddd, No. 70



[2]
A relaxed structure of Ta3MnNi. Source: the Alexandria database, functional PBE-GGA.

a = 4.538 Å, b = 4.538 Å, c = 4.538 Å
α = 90.00°, β = 90.00°, γ = 90.00°
Sites, in units of the cell vectors:
Ta 0.000 0.500 0.000
Mn 0.500 0.500 0.500
Ta 0.500 0.000 0.000
Ni 0.000 0.000 0.000
Ta 0.000 0.000 0.500

* symmetry: Pm-3m, No. 221



[3]
A relaxed structure of TaMnNi2. Source: the Alexandria database, functional PBE-GGA.

a = 4.454 Å, b = 4.454 Å, c = 2.802 Å
α = 90.00°, β = 90.00°, γ = 108.64°
Each line ends with the local moment (μB).
Sites, in units of the cell vectors:
Ni 0.500 0.500 0.000  0.22
Ni 0.000 0.000 0.000  0.22
Ta 0.500 0.000 0.500  -0.26
Mn 0.000 0.500 0.500  2.80

* symmetry: Cmmm, No. 65



[4]
A relaxed structure of TaMnNi2. Source: the Alexandria database, functional PBE-GGA.

a = 3.662 Å, b = 3.658 Å, c = 3.783 Å
α = 90.00°, β = 90.00°, γ = 90.00°
Each line ends with the local moment (μB).
Sites, in units of the cell vectors:
Ni 0.000 0.000 0.000  0.12
Ni 0.500 0.500 0.000  0.12
Ta 0.500 0.000 0.500  -0.35
Mn 0.000 0.500 0.500  1.99

* symmetry: P4/mmm, No. 123



[5]
A relaxed structure of TaMnNi. Source: the Alexandria database, functional PBE-GGA.

a = 4.091 Å, b = 4.091 Å, c = 4.091 Å
α = 60.00°, β = 60.00°, γ = 60.00°
Each line ends with the local moment (μB).
Sites, in units of the cell vectors:
Ni 0.750 0.750 0.750  0.43
Mn 0.500 0.500 0.500  3.32
Ta 0.000 0.000 0.000  -0.23

* symmetry: F-43m, No. 216



[6]
A relaxed structure of TaMnNi2. Source: the Alexandria database, functional PBE-GGA.

a = 3.661 Å, b = 2.741 Å, c = 5.901 Å
α = 62.36°, β = 90.00°, γ = 90.00°
Each line ends with the local moment (μB).
Sites, in units of the cell vectors:
Ta 0.500 0.250 0.250  -0.23
Ni 0.000 0.012 0.988  0.28
Mn 0.500 0.750 0.750  2.89
Ni 0.000 0.488 0.512  0.28

* symmetry: Pmmm, No. 47



[7]
A relaxed structure of TaMnNi2. Source: the Alexandria database, functional PBE-GGA.

a = 3.586 Å, b = 3.586 Å, c = 9.002 Å
α = 78.51°, β = 78.51°, γ = 90.00°
Each line ends with the local moment (μB).
Sites, in units of the cell vectors:
Ta 0.750 0.250 0.500  -0.32
Ni 0.375 0.394 0.750  0.21
Ni 0.875 0.856 0.750  0.21
Mn 0.250 0.750 0.500  2.21
Ni 0.144 0.625 0.250  0.18
Ni 0.606 0.125 0.250  0.18
Mn 0.500 0.500 0.000  2.21
Ta 0.000 0.000 0.000  -0.32

* symmetry: I-42d, No. 122



[8]
A relaxed structure of TaMnNi14. Source: the Alexandria database, functional PBE-GGA.

a = 5.066 Å, b = 5.066 Å, c = 7.104 Å
α = 90.00°, β = 90.00°, γ = 90.00°
Each line ends with the local moment (μB).
Sites, in units of the cell vectors:
Ni 0.127 0.623 0.244  0.42
Ni 0.623 0.127 0.244  0.42
Ni 0.127 0.623 0.756  0.42
Ni 0.375 0.875 0.500  0.28
Ni 0.623 0.623 0.244  0.42
Ni 0.875 0.375 0.000  0.62
Ni 0.127 0.127 0.244  0.42
Ni 0.375 0.375 0.000  0.65
Ta 0.875 0.875 0.500  -0.18
Ni 0.875 0.875 0.000  0.51
Ni 0.623 0.623 0.756  0.42
Ni 0.127 0.127 0.756  0.42
Ni 0.875 0.375 0.500  0.28
Ni 0.623 0.127 0.756  0.42
Ni 0.375 0.875 0.000  0.62
Mn 0.375 0.375 0.500  3.24

* symmetry: P4/mmm, No. 123



[9]
A relaxed structure of Ta3MnNi. Source: the Alexandria database, functional PBE-GGA.

a = 4.538 Å, b = 4.538 Å, c = 4.538 Å
α = 90.00°, β = 90.00°, γ = 90.00°
Sites, in units of the cell vectors:
Ta 0.500 0.000 0.000
Ta 0.000 0.500 0.000
Ta 0.000 0.000 0.500
Mn 0.000 0.000 0.000
Ni 0.500 0.500 0.500

* symmetry: Pm-3m, No. 221



[10]
A relaxed structure of TaTiMnNi2. Source: the Alexandria database, functional PBE-GGA.

a = 4.507 Å, b = 4.378 Å, c = 4.507 Å
α = 90.00°, β = 90.00°, γ = 90.00°
Each line ends with the local moment (μB).
Sites, in units of the cell vectors:
Ni 0.000 0.000 0.500  0.13
Mn 0.000 0.500 0.000  -0.01
Ti 0.500 0.500 0.500  1.00
Ni 0.500 0.000 0.000  0.10
Ta 0.000 0.000 0.000  -0.01

* symmetry: P4/mmm, No. 123



[11]
A relaxed structure of TaMnVNi. Source: the Alexandria database, functional PBE-GGA.

a = 4.230 Å, b = 4.230 Å, c = 4.230 Å
α = 60.00°, β = 60.00°, γ = 60.00°
Each line ends with the local moment (μB).
Sites, in units of the cell vectors:
Ta 0.500 0.500 0.500  0.03
Ni 0.250 0.250 0.250  0.13
Mn 0.750 0.750 0.750  -0.19
V 0.000 0.000 0.000  0.40

* symmetry: F-43m, No. 216



[12]
A relaxed structure of Ta2MnNiW. Source: the Alexandria database, functional PBE-GGA.

a = 4.540 Å, b = 4.155 Å, c = 4.540 Å
α = 90.00°, β = 90.00°, γ = 90.00°
Sites, in units of the cell vectors:
Ni 0.000 0.500 0.000
Ta 0.000 0.000 0.500
Ta 0.500 0.000 0.000
W 0.500 0.500 0.500
Mn 0.000 0.000 0.000

* symmetry: P4/mmm, No. 123



[13]
A relaxed structure of TbMnNi3. Source: the Alexandria database, functional PBE-GGA.

a = 5.303 Å, b = 5.806 Å, c = 5.805 Å
α = 120.01°, β = 90.00°, γ = 90.00°
Each line ends with the local moment (μB).
Sites, in units of the cell vectors:
Mn 0.000 0.000 0.000  3.03
Ni 0.750 0.197 0.395  0.32
Ni 0.250 0.803 0.197  0.32
Tb 0.250 0.333 0.667  -0.10
Ni 0.250 0.395 0.197  0.32
Mn 0.500 0.000 0.000  3.03
Tb 0.750 0.667 0.333  -0.10
Ni 0.750 0.197 0.803  0.32
Ni 0.250 0.803 0.605  0.32
Ni 0.750 0.605 0.803  0.32

* symmetry: P6_3/mmc, No. 194



[14]
A relaxed structure of TbMnNi2. Source: the Alexandria database, functional PBE-GGA.

a = 3.186 Å, b = 3.186 Å, c = 6.232 Å
α = 90.00°, β = 90.00°, γ = 90.00°
Each line ends with the local moment (μB).
Sites, in units of the cell vectors:
Tb 0.500 0.500 0.500  0.01
Ni 0.000 0.000 0.206  0.36
Mn 0.500 0.500 0.000  3.65
Ni 0.000 0.000 0.794  0.36

* symmetry: P4/mmm, No. 123



| no. | DFT total energy (eV/atom) |
| --- | --- |
| 1 | -8.7771 |
| 2 | -8.8646 |
| 3 | -8.2203 |
| 4 | -8.3684 |
| 5 | -8.5749 |
| 6 | -8.2577 |
| 7 | -7.8088 |
| 8 | -6.4613 |
| 9 | -9.1189 |
| 10 | -6.8990 |
| 11 | -9.0620 |
| 12 | -9.2129 |
| 13 | -6.3324 |
| 14 | -6.4531 |